A plane-wave DFT calculation with PBE was carried out for crystalline InPbAu at its relaxed geometry.

Geometry as POSCAR:
```
InPbAu
1.0
3.422 -3.422 0.000
3.422 3.422 0.000
-0.006 0.000 6.957
In Pb Au
2 2 2
direct
0.000 0.000 0.250 In
0.000 0.000 0.750 In
0.500 0.500 0.250 Pb
0.500 0.500 0.750 Pb
0.000 0.500 0.000 Au
0.500 0.000 0.500 Au
```

Output
The calculation puts the formation energy at -0.1244 eV per atom. As for the total energy: -0.1237 hartree per atom. As for the total magnetic moment: 0.00 μB/cell.

A plane-wave DFT calculation with PBE was carried out for crystalline In2Pb2Au at its relaxed geometry.

Geometry as POSCAR:
```
In2Pb2Au
1.0
7.649 0.000 0.000
0.000 7.649 0.000
0.000 0.000 5.054
In Pb Au
4 4 2
direct
0.155 0.345 0.000 In
0.345 0.845 0.000 In
0.655 0.155 0.000 In
0.845 0.655 0.000 In
0.153 0.653 0.500 Pb
0.347 0.153 0.500 Pb
0.653 0.847 0.500 Pb
0.847 0.347 0.500 Pb
0.000 0.000 0.500 Au
0.500 0.500 0.500 Au
```

Output
The calculation puts the formation energy at 0.0774 eV per atom. As for the total energy: -0.1160 hartree per atom. As for the total magnetic moment: 0.00 μB/cell.